[1]
18
Lattice="-2.0454 -2.4385 1.9033 5.7931 -4.2458 0.7856 1.6625 3.4066 6.1511" Properties=species:S:1:pos:R:3 comment="LaNi4C4 (GGA-PBE, optimized geometry)" formation_energy_ev_per_atom=0.115 rho_g_cm3=7.234 dos_ef_per_ev_cell=9.37 pbc="T T T"
Ni 2.8185 0.8480 6.4847
Ni 3.1282 -1.6613 7.2154
Ni 5.2025 -2.5982 3.5053
Ni -0.2808 -0.8616 3.4505
Ni 0.9406 -3.2158 2.8729
Ni 4.9872 -3.2554 6.0446
Ni 1.5492 0.9197 4.0864
Ni 3.2957 -3.2866 1.7003
C 1.4894 -0.1711 2.4005
C 0.9259 0.1055 5.7623
C 2.5456 -4.2520 3.4942
C 3.9073 -4.0713 3.6148
C 1.2158 -1.4678 2.0195
C 4.7716 -1.1220 6.2835
C 1.3964 -0.7764 6.7122
C 5.3892 -1.3561 5.0732
La 2.7051 -1.6389 4.4200
La 0.0000 0.0000 0.0000

---

[2]
9
Lattice="6.7542 0.0000 0.0000 0.0000 7.2138 0.0000 0.0000 -3.6069 6.2473" Properties=species:S:1:pos:R:3 comment="NaMnTlBr6 (GGA-PBE, optimized geometry)" rho_g_cm3=4.155 formation_energy_uncorrected_mev_per_atom=-816.9 pbc="T T T"
Br 1.9348 5.2066 0.0668
Br 1.9348 1.0615 1.7049
Br 4.8194 2.6612 4.4756
Br 1.9348 4.5526 4.4756
Br 4.8194 2.0072 0.0668
Br 4.8194 6.1523 1.7049
Mn 3.3771 0.0000 0.0000
Na 3.3771 3.6069 2.0824
Tl 0.0000 0.0000 4.1649

---

[3]
6
Lattice="5.1030 0.0000 0.0001 0.0000 3.0548 0.0000 0.0001 0.0000 5.3025" Properties=species:S:1:pos:R:3 comment="MgTaH (GGA-PBE, optimized geometry)" polymorph_energy_mev_per_atom=153 rho_g_cm3=8.287 dos_ef_per_ev_cell=2.83 pbc="T T T"
Ta 4.4914 0.0000 4.6091
Ta 4.6307 1.5274 1.8020
H 2.6384 0.0000 4.5534
H 3.8422 0.0000 2.7534
Mg 1.9367 1.5274 3.6068
Mg 2.0263 0.0000 1.0662

---

[4]
4
Lattice="-0.0462 0.3968 -4.8563 2.1645 -3.3964 -2.7427 -2.6952 -3.0578 -2.6688" Properties=species:S:1:pos:R:3 comment="TmIn2Tc (GGA-PBE, optimized geometry)" formation_energy_ev_per_atom=0.003 rho_g_cm3=10.082 dos_ef_per_ev_cell=4.52 pbc="T T T"
Tc 0.0000 0.0000 0.0000
In -0.1448 -1.5147 -2.5669
In -0.4321 -4.5427 -7.7008
Tm -0.2885 -3.0287 -5.1338

---

[5]
10
Lattice="-3.6646 1.6530 1.0385 -1.8441 -3.6560 -0.6881 5.1656 -3.0211 14.7360" Properties=species:S:1:pos:R:3 comment="Tm5Te4P (GGA-PBE, optimized geometry)" polymorph_energy_mev_per_atom=9 rho_g_cm3=8.541 formation_energy_uncorrected_mev_per_atom=-1294.2 dos_ef_per_ev_cell=4.54 pbc="T T T"
Te -1.2559 -3.5013 9.4416
Te 1.9181 -3.2000 11.8618
Te 0.9128 -1.5228 5.6448
Te -2.2612 -1.8241 3.2246
Tm 1.3841 -2.3090 8.5590
Tm 0.4036 -0.6734 2.4962
Tm -0.7468 -4.3507 12.5902
Tm -2.7543 -1.0015 0.1752
Tm -1.7272 -2.7151 6.5274
P 0.0000 0.0000 0.0000

---

[6]
4
Lattice="0.0000 3.4084 3.4084 3.4084 0.0000 3.4084 3.4084 3.4084 0.0000" Properties=species:S:1:pos:R:3 comment="CsTa2Re (GGA-PBE, optimized geometry)" formation_energy_ev_per_atom=1.676 rho_g_cm3=14.280 dos_ef_per_ev_cell=5.46 pbc="T T T"
Cs 0.0000 0.0000 0.0000
Ta 1.7042 1.7042 1.7042
Ta 5.1125 5.1125 5.1125
Re 3.4084 3.4084 3.4084

---

Q: Which formula does entry 6 have?
A: CsTa2Re

---

Q: Which formula does entry 2 have?
A: NaMnTlBr6